# PBE LiSn3Te6Pb2, relaxed
# calculated total energy = -3.73 eV/atom
# DOS at the Fermi energy = 11.48 states/eV/cell
# formation energy from raw total energies = -0.38 eV/atom
data_LiSn3Te6Pb2
_chemical_formula_sum 'Li2 Sn6 Te12 Pb4'
_cell_length_a 19.6983
_cell_length_b 4.4780
_cell_length_c 9.0397
_cell_angle_alpha 90.00
_cell_angle_beta 104.05
_cell_angle_gamma 90.00
_symmetry_space_group_name_H-M 'C 1 2/m 1'
_symmetry_Int_Tables_number 12
_symmetry_space_group_name_Hall '-C 2y'
loop_
_atom_site_label
_atom_site_type_symbol
_atom_site_fract_x
_atom_site_fract_y
_atom_site_fract_z
Li1 Li 0.0000 0.0000 0.0000
Sn1 Sn 0.0000 0.0000 0.5000
Sn2 Sn 0.1680 0.5000 0.8357
Te1 Te 0.0046 0.5000 0.7576
Te2 Te 0.1635 0.0000 0.0739
Te3 Te 0.1662 0.0000 0.5887
Pb1 Pb 0.1613 0.5000 0.3287